[1]
VASP calculation (PBE with a Hubbard U) on a geometry-optimized KSrNdMnO6 structure.

Cell: 8.436 8.436 8.436 Å, 90.00 90.00 90.00°
Space group F-43m (No. 216)
Unique sites:
K 0.000 0.000 0.000 [4 per cell]
Sr 0.000 0.000 0.500 [4 per cell]
Nd 0.250 0.250 0.250 [4 per cell]
Mn 0.250 0.250 0.750 [4 per cell]
O 0.024 0.250 0.750 [24 per cell]

[2]
VASP calculation (PBE with a Hubbard U) on a geometry-optimized KNdMnWO6 structure.

Cell: 5.664 5.755 8.256 Å, 90.00 90.48 90.00°
Space group P2_1 (No. 4)
Unique sites:
K 0.245 0.000 0.002 [2 per cell]
Nd 0.255 0.931 0.501 [2 per cell]
Mn 0.253 0.476 0.756 [2 per cell]
W 0.239 0.484 0.251 [2 per cell]
O 0.037 0.794 0.755 [2 per cell]
O 0.060 0.769 0.242 [2 per cell]
O 0.165 0.511 0.496 [2 per cell]
O 0.292 0.475 0.027 [2 per cell]
O 0.448 0.218 0.312 [2 per cell]
O 0.483 0.186 0.688 [2 per cell]

no.,VASP energy (eV per atom)
1,-6.393
2,-7.399